No. 1
Compound: Sm2Y2Sc3
Source: Alexandria via LeMat-Bulk
Functional: PBE
Structure: relaxed

abc: 8.1353 8.1353 8.1353
angles: 109.47 109.47 109.47
Sites, in units of the cell vectors:
1 Sm 0.0000 0.8256 0.5000
2 Sm 0.5000 0.0000 0.8256
3 Sm 0.6744 0.6744 0.6744
4 Sm 0.8256 0.5000 0.0000
5 Y 0.0000 0.4238 0.5000
6 Y 0.0762 0.0762 0.0762
7 Y 0.4238 0.5000 0.0000
8 Y 0.5000 0.0000 0.4238
9 Sc 0.2033 0.7500 0.9533
10 Sc 0.2500 0.5467 0.2967
11 Sc 0.2967 0.2500 0.5467
12 Sc 0.5467 0.2967 0.2500
13 Sc 0.7500 0.9533 0.2033
14 Sc 0.9533 0.2033 0.7500

Computed properties:
**Polymorph energy (0 for the lowest one)**: 80.0 meV per atom
**E_form**: 0.23 eV/atom


No. 2
Compound: Cs3Au
Source: Alexandria via LeMat-Bulk
Functional: PBE
Structure: relaxed

abc: 8.9310 8.9310 12.1932
angles: 90.00 90.00 146.08
Sites, in units of the cell vectors:
1 Cs 0.0883 0.9117 0.7500
2 Cs 0.3471 0.6529 0.5720
3 Cs 0.3471 0.6529 0.9280
4 Cs 0.6529 0.3471 0.0720
5 Cs 0.6529 0.3471 0.4280
6 Cs 0.9117 0.0883 0.2500
7 Au 0.2559 0.7441 0.2500
8 Au 0.7441 0.2559 0.7500

Computed properties:
**Polymorph energy (0 for the lowest one)**: 10.8 meV per atom
**E_form**: -0.17 eV/atom


No. 3
Compound: Pm5Dy2Ir4
Source: Alexandria via LeMat-Bulk
Functional: PBE
Structure: relaxed

abc: 12.3176 12.3176 7.0042
angles: 101.01 101.01 17.57
Sites, in units of the cell vectors:
1 Pm 0.0000 0.0000 0.0000
2 Pm 0.2702 0.2702 0.2253
3 Pm 0.3652 0.3652 0.7817
4 Pm 0.6348 0.6348 0.2183
5 Pm 0.7298 0.7298 0.7747
6 Dy 0.4164 0.4164 0.3063
7 Dy 0.5836 0.5836 0.6937
8 Ir 0.1607 0.1607 0.9355
9 Ir 0.4714 0.4714 0.6856
10 Ir 0.5286 0.5286 0.3144
11 Ir 0.8393 0.8393 0.0645

Computed properties:
**E_form**: -0.41 eV/atom


No. 4
Compound: PmGa4Au2
Source: Alexandria via LeMat-Bulk
Functional: PBE
Structure: relaxed

abc: 8.3631 8.3631 4.1396
angles: 90.00 90.00 150.63
Sites, in units of the cell vectors:
1 Pm 0.0000 0.0000 0.0000
2 Ga 0.1833 0.8167 0.5000
3 Ga 0.3072 0.6928 0.0000
4 Ga 0.6928 0.3072 0.0000
5 Ga 0.8167 0.1833 0.5000
6 Au 0.4157 0.5843 0.5000
7 Au 0.5843 0.4157 0.5000

Computed properties:
**Polymorph energy (0 for the lowest one)**: 113.9 meV per atom
**E_form**: -0.40 eV/atom


No. 5
Compound: La5Sb4Cl
Source: Alexandria via LeMat-Bulk
Functional: PBE
Structure: relaxed

abc: 12.0197 12.0197 12.0197
angles: 158.00 148.84 38.48
Sites, in units of the cell vectors:
1 La 0.0000 0.0000 0.0000
2 La 0.2005 0.2005 0.0000
3 La 0.3998 0.3998 0.0000
4 La 0.6002 0.6002 0.0000
5 La 0.7995 0.7995 0.0000
6 Sb 0.0985 0.5985 0.5000
7 Sb 0.3029 0.8029 0.5000
8 Sb 0.6971 0.1971 0.5000
9 Sb 0.9015 0.4015 0.5000
10 Cl 0.5000 0.0000 0.5000

Computed properties:
**E_form (uncorrected)**: -13.570 eV per formula unit


No. 6
Compound: Sr2SbSe2
Source: Alexandria via LeMat-Bulk
Functional: PBE
Structure: relaxed

abc: 8.6890 8.6890 3.9582
angles: 90.00 90.00 90.00
Sites, in units of the cell vectors:
1 Sr 0.1494 0.3506 0.0000
2 Sr 0.3506 0.8506 0.0000
3 Sr 0.6494 0.1494 0.0000
4 Sr 0.8506 0.6494 0.0000
5 Sb 0.0000 0.0000 0.0000
6 Sb 0.5000 0.5000 0.0000
7 Se 0.1583 0.6583 0.5000
8 Se 0.3417 0.1583 0.5000
9 Se 0.6583 0.8417 0.5000
10 Se 0.8417 0.3417 0.5000

Computed properties:
**Polymorph energy (0 for the lowest one)**: 197.1 meV per atom
**E_form (uncorrected)**: -5.334 eV per formula unit


No. 7
Compound: DyY6Cd5
Source: Alexandria via LeMat-Bulk
Functional: PBE
Structure: relaxed

abc: 9.2743 9.2743 9.2743
angles: 147.02 130.25 60.99
Sites, in units of the cell vectors:
1 Dy 0.0000 0.0000 0.0000
2 Y 0.0858 0.8294 0.2564
3 Y 0.2699 0.5000 0.7699
4 Y 0.4270 0.1706 0.2564
5 Y 0.5730 0.8294 0.7436
6 Y 0.7301 0.5000 0.2301
7 Y 0.9142 0.1706 0.7436
8 Cd 0.1526 0.6526 0.5000
9 Cd 0.3303 0.3303 0.0000
10 Cd 0.5000 0.0000 0.5000
11 Cd 0.6697 0.6697 0.0000
12 Cd 0.8474 0.3474 0.5000

Computed properties:
**E_form**: -0.24 eV/atom


No. 8
Compound: Pr2NdY4Er2
Source: Alexandria via LeMat-Bulk
Functional: PBE
Structure: relaxed

abc: 6.0416 6.6710 8.7206
angles: 80.42 70.47 65.04
Sites, in units of the cell vectors:
1 Pr 0.2311 0.3226 0.3450
2 Pr 0.7689 0.6774 0.6550
3 Nd 0.5000 0.0000 0.0000
4 Y 0.1147 0.1313 0.7590
5 Y 0.2412 0.5780 0.8837
6 Y 0.7588 0.4220 0.1163
7 Y 0.8853 0.8687 0.2410
8 Er 0.3200 0.7673 0.4476
9 Er 0.6800 0.2327 0.5524

Computed properties:
**E_form**: 0.08 eV/atom


No. 9
Compound: Hf3PdC
Source: Alexandria via LeMat-Bulk
Functional: PBE
Structure: relaxed

abc: 7.4832 7.4832 3.3123
angles: 90.00 90.00 108.82
Sites, in units of the cell vectors:
1 Hf 0.1727 0.4341 0.5000
2 Hf 0.1934 0.8066 0.0000
3 Hf 0.4341 0.1727 0.5000
4 Hf 0.5659 0.8273 0.5000
5 Hf 0.8066 0.1934 0.0000
6 Hf 0.8273 0.5659 0.5000
7 Pd 0.0000 0.0000 0.5000
8 Pd 0.5000 0.5000 0.0000
9 C 0.0000 0.5000 0.0000
10 C 0.5000 0.0000 0.0000

Computed properties:
**Polymorph energy (0 for the lowest one)**: 128.6 meV per atom
**E_form**: -0.58 eV/atom


No. 10
Compound: BaHf2InRh
Source: Alexandria via LeMat-Bulk
Functional: PBE
Structure: relaxed

abc: 5.2765 5.2765 5.4819
angles: 90.00 90.00 90.00
Sites, in units of the cell vectors:
1 Ba 0.0000 0.0000 0.0000
2 Hf 0.0000 0.5000 0.0000
3 Hf 0.5000 0.0000 0.0000
4 In 0.0000 0.0000 0.5000
5 Rh 0.5000 0.5000 0.5000

Computed properties:
**E_form**: 2.26 eV/atom


No. 11
Compound: AlSnO2
Source: Alexandria via LeMat-Bulk
Functional: PBE
Structure: relaxed

abc: 4.2139 4.2139 4.2139
angles: 60.00 60.00 60.00
Sites, in units of the cell vectors:
1 Al 0.0000 0.0000 0.0000
2 Sn 0.5000 0.5000 0.5000
3 O 0.2500 0.2500 0.2500
4 O 0.7500 0.7500 0.7500

Computed properties:
**E_form (uncorrected)**: -1.958 eV per formula unit


No. 12
Compound: BaAc4La
Source: Alexandria via LeMat-Bulk
Functional: PBE
Structure: relaxed

abc: 7.4330 7.4330 7.4330
angles: 60.00 60.00 60.00
Sites, in units of the cell vectors:
1 Ba 0.0000 0.0000 0.0000
2 Ac 0.3769 0.3769 0.3769
3 Ac 0.3769 0.3769 0.8694
4 Ac 0.3769 0.8694 0.3769
5 Ac 0.8694 0.3769 0.3769
6 La 0.7500 0.7500 0.7500

Computed properties:
**Polymorph energy (0 for the lowest one)**: 202.0 meV per atom
**E_form**: 0.24 eV/atom